{"formula": "NiHgAs", "functional": "SCAN", "state": "single point on PBEsol structure", "density_g_cm3": 10.6, "e_form_ev_per_atom": 0.103, "relative_energy_ev_per_atom": 0.042, "cell": [[4.202, 0.000, 0.000], [2.101, 3.639, 0.000], [2.101, 1.213, 3.431]], "species": ["Hg", "As", "Ni"], "frac_coords": [[0.500, 0.500, 0.500], [0.000, 0.000, 0.000], [0.250, 0.250, 0.250]]}